#A
# AlFeHg3

AlFeHg3 after structural relaxation (PBE, Alexandria).

Properties
Crystal system: cubic
SG: Pm-3m
DOS(E_F) (states/eV/cell): 3.95

a b c (Å): 5.107 5.107 5.107
angles (deg): 90.00 90.00 90.00
Each line ends with the local moment (μB).
Positions (direct):
Al (0.500, 0.500, 0.500)  -0.04
Hg (0.000, 0.500, 0.000)  -0.03
Hg (0.000, 0.000, 0.500)  -0.01
Hg (0.500, 0.000, 0.000)  -0.06
Fe (0.000, 0.000, 0.000)  2.48

#B
# AlFeHg3

AlFeHg3 after structural relaxation (PBE, Alexandria).

Properties
Crystal system: cubic
SG: Pm-3m
DOS(E_F) (states/eV/cell): 4.65

a b c (Å): 5.169 5.169 5.169
angles (deg): 90.00 90.00 90.00
Each line ends with the local moment (μB).
Positions (direct):
Al (0.000, 0.000, 0.000)  0.01
Hg (0.000, 0.500, 0.000)  -0.01
Hg (0.000, 0.000, 0.500)  0.01
Hg (0.500, 0.000, 0.000)  0.01
Fe (0.500, 0.500, 0.500)  3.34

Name the most stable of them. #A.

#A
# Ho2AlFe

Ho2AlFe after structural relaxation (PBE, Alexandria).

Properties
Crystal system: cubic
SG: Fm-3m
DOS(E_F) (states/eV/cell): 7.59

a b c (Å): 4.947 4.947 4.947
angles (deg): 60.00 60.00 60.00
Each line ends with the local moment (μB).
Positions (direct):
Al (0.000, 0.000, 0.000)  -0.01
Ho (0.250, 0.250, 0.250)  -0.26
Ho (0.750, 0.750, 0.750)  -0.26
Fe (0.500, 0.500, 0.500)  1.91

#B
# Ho2AlFe

Ho2AlFe after structural relaxation (PBE, Alexandria).

Properties
Crystal system: tetragonal
SG: P4/mmm
DOS(E_F) (states/eV/cell): 3.02

a b c (Å): 3.415 3.415 7.088
angles (deg): 90.00 90.00 90.00
Positions (direct):
Al (0.500, 0.500, 0.500)
Ho (0.000, 0.000, 0.776)
Ho (0.000, 0.000, 0.224)
Fe (0.500, 0.500, 0.000)

#C
# Ho2AlFe

Ho2AlFe after structural relaxation (PBE, Alexandria).

Properties
Crystal system: trigonal
SG: R-3m
DOS(E_F) (states/eV/cell): 3.74

a b c (Å): 3.248 3.248 10.348
angles (deg): 80.97 80.97 60.00
Each line ends with the local moment (μB).
Positions (direct):
Al (0.500, 0.500, 0.500)  -0.01
Ho (0.088, 0.088, 0.737)  -0.25
Ho (0.912, 0.912, 0.263)  -0.25
Fe (0.000, 0.000, 0.000)  2.63

Name the most stable of them. #B.

#A
# AlFeI2

AlFeI2 after structural relaxation (PBE, Alexandria).

Properties
Crystal system: tetragonal
SG: I-42d
DOS(E_F) (states/eV/cell): 11.67

a b c (Å): 6.956 6.956 7.268
angles (deg): 61.41 61.41 90.00
Positions (direct):
I (0.707, 0.125, 0.250)
I (0.043, 0.625, 0.250)
I (0.375, 0.293, 0.750)
I (0.875, 0.957, 0.750)
Fe (0.000, 0.000, 0.000)
Fe (0.750, 0.250, 0.500)
Al (0.500, 0.500, 0.000)
Al (0.250, 0.750, 0.500)

#B
# AlFeI2

AlFeI2 after structural relaxation (PBE, Alexandria).

Properties
Crystal system: cubic
SG: Fm-3m
DOS(E_F) (states/eV/cell): 1.93

a b c (Å): 5.253 5.253 5.253
angles (deg): 60.00 60.00 60.00
Each line ends with the local moment (μB).
Positions (direct):
I (0.250, 0.250, 0.250)  0.03
I (0.750, 0.750, 0.750)  0.03
Fe (0.500, 0.500, 0.500)  3.00
Al (0.000, 0.000, 0.000)  -0.01

Name the most stable of them. #B.

#A
# AlFeIN2

AlFeIN2 after structural relaxation (PBE, Alexandria).

Properties
Crystal system: tetragonal
SG: P4/mmm
DOS(E_F) (states/eV/cell): 4.14

a b c (Å): 3.787 3.787 5.394
angles (deg): 90.00 90.00 90.00
Each line ends with the local moment (μB).
Positions (direct):
I (0.000, 0.000, 0.500)  0.01
N (0.000, 0.500, 0.000)  0.17
N (0.500, 0.000, 0.000)  0.17
Fe (0.000, 0.000, 0.000)  0.07
Al (0.500, 0.500, 0.500)  0.00

#B
# AlFeIN2

AlFeIN2 after structural relaxation (PBE, Alexandria).

Properties
Crystal system: tetragonal
SG: P4/mmm
DOS(E_F) (states/eV/cell): 5.41

a b c (Å): 3.742 3.742 6.210
angles (deg): 90.00 90.00 90.00
Each line ends with the local moment (μB).
Positions (direct):
I (0.000, 0.000, 0.500)  0.08
N (0.000, 0.500, 0.000)  0.28
N (0.500, 0.000, 0.000)  0.28
Fe (0.500, 0.500, 0.500)  3.00
Al (0.000, 0.000, 0.000)  -0.01

Name the most stable of them. #B.

#A
# AlFeI2N

AlFeI2N after structural relaxation (PBE, Alexandria).

Properties
Crystal system: tetragonal
SG: P4/mmm
DOS(E_F) (states/eV/cell): 2.68

a b c (Å): 5.493 5.493 3.539
angles (deg): 90.00 90.00 90.00
Each line ends with the local moment (μB).
Positions (direct):
I (0.000, 0.500, 0.000)  0.00
I (0.500, 0.000, 0.000)  0.00
N (0.000, 0.000, 0.500)  -0.07
Fe (0.000, 0.000, 0.000)  0.37
Al (0.500, 0.500, 0.500)  0.00

#B
# AlFeI2N

AlFeI2N after structural relaxation (PBE, Alexandria).

Properties
Crystal system: tetragonal
SG: P4/mmm
DOS(E_F) (states/eV/cell): 6.65

a b c (Å): 5.696 5.696 3.553
angles (deg): 90.00 90.00 90.00
Each line ends with the local moment (μB).
Positions (direct):
I (0.000, 0.500, 0.000)  0.06
I (0.500, 0.000, 0.000)  0.06
N (0.000, 0.000, 0.500)  0.14
Fe (0.500, 0.500, 0.500)  3.22
Al (0.000, 0.000, 0.000)  0.00

Name the most stable of them. #A.

#A
# AlIn3Fe

AlIn3Fe after structural relaxation (PBE, Alexandria).

Properties
Crystal system: cubic
SG: Pm-3m
DOS(E_F) (states/eV/cell): 1.88

a b c (Å): 4.997 4.997 4.997
angles (deg): 90.00 90.00 90.00
Each line ends with the local moment (μB).
Positions (direct):
Al (0.500, 0.500, 0.500)  0.00
Fe (0.000, 0.000, 0.000)  0.35
In (0.000, 0.500, 0.000)  -0.02
In (0.000, 0.000, 0.500)  -0.01
In (0.500, 0.000, 0.000)  -0.03

#B
# AlIn3Fe

AlIn3Fe after structural relaxation (PBE, Alexandria).

Properties
Crystal system: cubic
SG: Pm-3m
DOS(E_F) (states/eV/cell): 9.92

a b c (Å): 5.272 5.272 5.272
angles (deg): 90.00 90.00 90.00
Each line ends with the local moment (μB).
Positions (direct):
Al (0.000, 0.000, 0.000)  0.01
Fe (0.500, 0.500, 0.500)  3.27
In (0.000, 0.500, 0.000)  -0.01
In (0.000, 0.000, 0.500)  0.01
In (0.500, 0.000, 0.000)  -0.01

Name the most stable of them. #A.

#A
# Al2Fe2Ir

Al2Fe2Ir after structural relaxation (PBE, Alexandria).

Properties
Crystal system: tetragonal
SG: P4/mbm
DOS(E_F) (states/eV/cell): 7.95

a b c (Å): 6.837 6.837 2.806
angles (deg): 90.00 90.00 90.00
Each line ends with the local moment (μB).
Positions (direct):
Ir (0.000, 0.000, 0.000)  0.17
Ir (0.500, 0.500, 0.000)  0.17
Fe (0.386, 0.886, 0.000)  1.72
Fe (0.886, 0.614, 0.000)  1.68
Fe (0.614, 0.114, 0.000)  1.72
Fe (0.114, 0.386, 0.000)  1.68
Al (0.184, 0.684, 0.500)  -0.04
Al (0.684, 0.816, 0.500)  -0.04
Al (0.816, 0.316, 0.500)  -0.04
Al (0.316, 0.184, 0.500)  -0.04

#B
# Al2Fe2Ir

Al2Fe2Ir after structural relaxation (PBE, Alexandria).

Properties
Crystal system: tetragonal
SG: P4/mbm
DOS(E_F) (states/eV/cell): 7.53

a b c (Å): 6.657 6.657 2.970
angles (deg): 90.00 90.00 90.00
Each line ends with the local moment (μB).
Positions (direct):
Ir (0.000, 0.000, 0.000)  0.35
Ir (0.500, 0.500, 0.000)  0.35
Fe (0.160, 0.660, 0.500)  2.06
Fe (0.660, 0.840, 0.500)  2.03
Fe (0.840, 0.340, 0.500)  2.07
Fe (0.340, 0.160, 0.500)  2.03
Al (0.361, 0.861, 0.000)  -0.04
Al (0.861, 0.639, 0.000)  -0.04
Al (0.639, 0.139, 0.000)  -0.04
Al (0.139, 0.361, 0.000)  -0.04

Name the most stable of them. #B.

#A
# Al2FeIr2

Al2FeIr2 after structural relaxation (PBE, Alexandria).

Properties
Crystal system: tetragonal
SG: P4/mbm
DOS(E_F) (states/eV/cell): 12.67

a b c (Å): 7.079 7.079 2.810
angles (deg): 90.00 90.00 90.00
Positions (direct):
Ir (0.164, 0.664, 0.500)
Ir (0.664, 0.836, 0.500)
Ir (0.836, 0.336, 0.500)
Ir (0.336, 0.164, 0.500)
Fe (0.000, 0.000, 0.000)
Fe (0.500, 0.500, 0.000)
Al (0.364, 0.864, 0.000)
Al (0.864, 0.636, 0.000)
Al (0.636, 0.136, 0.000)
Al (0.136, 0.364, 0.000)

#B
# Al2FeIr2

Al2FeIr2 after structural relaxation (PBE, Alexandria).

Properties
Crystal system: tetragonal
SG: I4/mmm
DOS(E_F) (states/eV/cell): 8.38

a b c (Å): 3.789 3.789 6.231
angles (deg): 72.30 72.30 90.00
Each line ends with the local moment (μB).
Positions (direct):
Ir (0.750, 0.250, 0.500)  0.07
Ir (0.250, 0.750, 0.500)  0.07
Fe (0.000, 0.000, 0.000)  0.11
Al (0.391, 0.391, 0.218)  0.00
Al (0.609, 0.609, 0.782)  0.00

Name the most stable of them. #A.